The following is a DFT calculation (PBE-GGA) of a relaxed structure of MoPd2C2.

Results
Energy relative to the lowest polymorph listed for this composition: 0.0 meV per atom
E_form: 0.7118 eV per atom
Total DFT energy (no corrections): -72.212 eV/cell

Cell: 5.900 5.900 4.044 Å, 90.00 90.00 90.00°
Space group P4/mbm (No. 127)
Unique sites:
Mo 0.000 0.000 0.000 x2
Pd 0.249 0.251 0.500 x4
C 0.249 0.251 0.000 x4